Record 1
{
  "formula": "PmCoO3",
  "functional": "PBE with a Hubbard U",
  "state": "optimized geometry",
  "lattice_angstrom": [[2.833, 1.636, 5.196], [-2.833, 1.636, 5.196], [0.000, -3.271, 5.196]],
  "species": ["Pm", "Pm", "Co", "Co", "O", "O", "O", "O", "O", "O"],
  "fractional_positions": [[0.000, 0.000, 0.000], [0.500, 0.500, 0.500], [0.250, 0.250, 0.250], [0.750, 0.750, 0.750], [0.064, 0.750, 0.436], [0.250, 0.564, 0.936], [0.436, 0.064, 0.750], [0.564, 0.936, 0.250], [0.750, 0.436, 0.064], [0.936, 0.250, 0.564]],
  "crystal_system": "trigonal",
  "final_energy_ev_per_cell": -70.3
}

Record 2
{
  "formula": "PmCoO3",
  "functional": "PBE with a Hubbard U",
  "state": "optimized geometry",
  "lattice_angstrom": [[5.538, 0.000, 0.000], [0.000, 7.629, 0.000], [0.000, 0.000, 5.313]],
  "species": ["Pm", "Pm", "Pm", "Pm", "Co", "Co", "Co", "Co", "O", "O", "O", "O", "O", "O", "O", "O", "O", "O", "O", "O"],
  "fractional_positions": [[0.061, 0.250, 0.015], [0.439, 0.750, 0.515], [0.561, 0.250, 0.485], [0.939, 0.750, 0.985], [0.000, 0.000, 0.500], [0.000, 0.500, 0.500], [0.500, 0.000, 0.000], [0.500, 0.500, 0.000], [0.015, 0.750, 0.419], [0.203, 0.543, 0.794], [0.203, 0.957, 0.794], [0.297, 0.043, 0.294], [0.297, 0.457, 0.294], [0.485, 0.250, 0.919], [0.515, 0.750, 0.081], [0.703, 0.543, 0.706], [0.703, 0.957, 0.706], [0.797, 0.043, 0.206], [0.797, 0.457, 0.206], [0.985, 0.250, 0.581]],
  "crystal_system": "orthorhombic",
  "final_energy_ev_per_cell": -142.9
}

Record 3
{
  "formula": "PmCoO3",
  "functional": "PBE with a Hubbard U",
  "state": "optimized geometry",
  "lattice_angstrom": [[2.731, 1.577, 4.858], [-2.731, 1.577, 4.858], [0.000, -3.154, 4.858]],
  "species": ["Pm", "Pm", "Co", "Co", "O", "O", "O", "O", "O", "O"],
  "fractional_positions": [[0.130, 0.130, 0.130], [0.870, 0.870, 0.870], [0.345, 0.345, 0.345], [0.655, 0.655, 0.655], [0.061, 0.475, 0.695], [0.305, 0.939, 0.525], [0.475, 0.695, 0.061], [0.525, 0.305, 0.939], [0.695, 0.061, 0.475], [0.939, 0.525, 0.305]],
  "crystal_system": "trigonal",
  "final_energy_ev_per_cell": -68.9
}

Record 4
{
  "formula": "PmCoO3",
  "functional": "PBE with a Hubbard U",
  "state": "optimized geometry",
  "lattice_angstrom": [[5.552, 0.000, 0.000], [0.000, 8.544, 0.000], [0.000, 0.000, 5.655]],
  "species": ["Pm", "Pm", "Pm", "Pm", "Co", "Co", "Co", "Co", "O", "O", "O", "O", "O", "O", "O", "O", "O", "O", "O", "O"],
  "fractional_positions": [[0.000, 0.000, 0.000], [0.000, 0.500, 0.000], [0.500, 0.000, 0.500], [0.500, 0.500, 0.500], [0.016, 0.250, 0.474], [0.484, 0.750, 0.974], [0.516, 0.250, 0.026], [0.984, 0.750, 0.526], [0.135, 0.088, 0.637], [0.135, 0.412, 0.637], [0.163, 0.250, 0.151], [0.337, 0.750, 0.651], [0.365, 0.588, 0.137], [0.365, 0.912, 0.137], [0.635, 0.088, 0.863], [0.635, 0.412, 0.863], [0.663, 0.250, 0.349], [0.837, 0.750, 0.849], [0.865, 0.588, 0.363], [0.865, 0.912, 0.363]],
  "crystal_system": "orthorhombic",
  "final_energy_ev_per_cell": -139.1
}

Record 5
{
  "formula": "PmCoO3",
  "functional": "PBE with a Hubbard U",
  "state": "optimized geometry",
  "lattice_angstrom": [[4.150, 0.000, 0.000], [0.000, 4.150, 0.000], [0.000, 0.000, 4.855]],
  "species": ["Pm", "Co", "O", "O", "O"],
  "fractional_positions": [[0.000, 0.000, 0.000], [0.500, 0.500, 0.273], [0.000, 0.000, 0.544], [0.000, 0.500, 0.176], [0.500, 0.000, 0.176]],
  "crystal_system": "tetragonal",
  "final_energy_ev_per_cell": -32.0
}

Record 6
{
  "formula": "Pm2Co2O5",
  "functional": "PBE with a Hubbard U",
  "state": "optimized geometry",
  "lattice_angstrom": [[3.873, 0.000, 0.000], [0.000, 3.873, 0.000], [0.000, 0.000, 7.127]],
  "species": ["Pm", "Pm", "Co", "Co", "O", "O", "O", "O", "O"],
  "fractional_positions": [[0.000, 0.000, 0.000], [0.000, 0.000, 0.500], [0.500, 0.500, 0.221], [0.500, 0.500, 0.779], [0.000, 0.500, 0.217], [0.000, 0.500, 0.783], [0.500, 0.000, 0.217], [0.500, 0.000, 0.783], [0.500, 0.500, 0.500]],
  "crystal_system": "tetragonal",
  "final_energy_ev_per_cell": -62.6
}

Record 7
{
  "formula": "PrCoO3",
  "functional": "PBE with a Hubbard U",
  "state": "optimized geometry",
  "lattice_angstrom": [[5.477, 0.000, 0.000], [0.000, 7.701, 0.000], [0.000, 0.000, 5.390]],
  "species": ["Pr", "Pr", "Pr", "Pr", "Co", "Co", "Co", "Co", "O", "O", "O", "O", "O", "O", "O", "O", "O", "O", "O", "O"],
  "fractional_positions": [[0.046, 0.250, 0.010], [0.454, 0.750, 0.510], [0.546, 0.250, 0.490], [0.954, 0.750, 0.990], [0.000, 0.000, 0.500], [0.000, 0.500, 0.500], [0.500, 0.000, 0.000], [0.500, 0.500, 0.000], [0.009, 0.750, 0.430], [0.212, 0.538, 0.785], [0.212, 0.962, 0.785], [0.288, 0.038, 0.285], [0.288, 0.462, 0.285], [0.491, 0.250, 0.930], [0.509, 0.750, 0.070], [0.712, 0.538, 0.715], [0.712, 0.962, 0.715], [0.788, 0.038, 0.215], [0.788, 0.462, 0.215], [0.991, 0.250, 0.570]],
  "crystal_system": "orthorhombic",
  "final_energy_ev_per_cell": -141.8
}

Record 8
{
  "formula": "Pr2Co2O5",
  "functional": "PBE with a Hubbard U",
  "state": "optimized geometry",
  "lattice_angstrom": [[3.901, 0.000, 0.000], [0.000, 3.901, 0.000], [0.000, 0.000, 7.275]],
  "species": ["Pr", "Pr", "Co", "Co", "O", "O", "O", "O", "O"],
  "fractional_positions": [[0.000, 0.000, 0.000], [0.000, 0.000, 0.500], [0.500, 0.500, 0.226], [0.500, 0.500, 0.774], [0.000, 0.500, 0.218], [0.000, 0.500, 0.782], [0.500, 0.000, 0.218], [0.500, 0.000, 0.782], [0.500, 0.500, 0.500]],
  "crystal_system": "tetragonal",
  "final_energy_ev_per_cell": -62.4
}

Record 9
{
  "formula": "Pr2CoO4",
  "functional": "PBE with a Hubbard U",
  "state": "optimized geometry",
  "lattice_angstrom": [[0.000, 4.838, 4.838], [4.838, 0.000, 4.838], [4.838, 4.838, 0.000]],
  "species": ["Pr", "Pr", "Pr", "Pr", "Co", "Co", "O", "O", "O", "O", "O", "O", "O", "O"],
  "fractional_positions": [[0.000, 0.000, 0.000], [0.000, 0.000, 0.500], [0.000, 0.500, 0.000], [0.500, 0.000, 0.000], [0.375, 0.375, 0.375], [0.625, 0.625, 0.625], [0.244, 0.752, 0.752], [0.248, 0.248, 0.248], [0.248, 0.248, 0.756], [0.248, 0.756, 0.248], [0.752, 0.244, 0.752], [0.752, 0.752, 0.244], [0.752, 0.752, 0.752], [0.756, 0.248, 0.248]],
  "crystal_system": "cubic",
  "final_energy_ev_per_cell": -102.1
}

Record 10
{
  "formula": "PrCoO3",
  "functional": "PBE with a Hubbard U",
  "state": "optimized geometry",
  "lattice_angstrom": [[4.452, 0.000, 0.000], [0.000, 4.452, 0.000], [0.000, 0.000, 4.452]],
  "species": ["Pr", "Co", "O", "O", "O"],
  "fractional_positions": [[0.000, 0.000, 0.000], [0.500, 0.500, 0.500], [0.000, 0.000, 0.500], [0.000, 0.500, 0.000], [0.500, 0.000, 0.000]],
  "crystal_system": "cubic",
  "final_energy_ev_per_cell": -28.5
}

Record 11
{
  "formula": "PrCo6O8",
  "functional": "PBE with a Hubbard U",
  "state": "optimized geometry",
  "lattice_angstrom": [[0.000, 4.322, 4.322], [4.322, 0.000, 4.322], [4.322, 4.322, 0.000]],
  "species": ["Pr", "Co", "Co", "Co", "Co", "Co", "Co", "O", "O", "O", "O", "O", "O", "O", "O"],
  "fractional_positions": [[0.000, 0.000, 0.000], [0.000, 0.000, 0.500], [0.000, 0.500, 0.000], [0.000, 0.500, 0.500], [0.500, 0.000, 0.000], [0.500, 0.000, 0.500], [0.500, 0.500, 0.000], [0.250, 0.250, 0.250], [0.264, 0.264, 0.736], [0.264, 0.736, 0.264], [0.264, 0.736, 0.736], [0.736, 0.264, 0.264], [0.736, 0.264, 0.736], [0.736, 0.736, 0.264], [0.750, 0.750, 0.750]],
  "crystal_system": "cubic",
  "final_energy_ev_per_cell": -90.6
}

Record 12
{
  "formula": "PrCoO3",
  "functional": "PBE with a Hubbard U",
  "state": "optimized geometry",
  "lattice_angstrom": [[3.771, 0.000, 0.000], [0.000, 3.771, 0.000], [0.000, 0.000, 3.771]],
  "species": ["Pr", "Co", "O", "O", "O"],
  "fractional_positions": [[0.000, 0.000, 0.000], [0.500, 0.500, 0.500], [0.000, 0.500, 0.500], [0.500, 0.000, 0.500], [0.500, 0.500, 0.000]],
  "crystal_system": "cubic",
  "final_energy_ev_per_cell": -35.1
}